Entry 1:
# TmInCl6, optimized geometry, DFT PBE
data_TmInCl6
_chemical_formula_sum 'Tm2 In2 Cl12'
_cell_length_a 6.581
_cell_length_b 11.422
_cell_length_c 6.473
_cell_angle_alpha 90.00
_cell_angle_beta 109.92
_cell_angle_gamma 90.00
_symmetry_space_group_name_H-M 'C 1 2 1'
_symmetry_Int_Tables_number 5
loop_
_symmetry_equiv_pos_as_xyz
'x,y,z'
'-x,y,-z'
'x+1/2,y+1/2,z'
'-x+1/2,y+1/2,-z'
loop_
_atom_site_label
_atom_site_type_symbol
_atom_site_fract_x
_atom_site_fract_y
_atom_site_fract_z
Tm1 Tm 0.000 0.000 0.000
In1 In 0.000 0.332 0.000
Cl1 Cl 0.228 0.169 0.241
Cl2 Cl 0.239 0.340 0.761
Cl3 Cl 0.250 0.488 0.240
# DFT total energy = -3.961 eV/atom
# Calculated volume = 28.59 Å³/atom

---

Entry 2:
# K2RbNa2ReO6, optimized geometry, DFT PBE
data_K2RbNa2ReO6
_chemical_formula_sum 'K4 Rb2 Na4 Re2 O12'
_cell_length_a 5.928
_cell_length_b 10.043
_cell_length_c 6.219
_cell_angle_alpha 90.00
_cell_angle_beta 106.73
_cell_angle_gamma 90.00
_symmetry_space_group_name_H-M 'C 1 2/m 1'
_symmetry_Int_Tables_number 12
loop_
_symmetry_equiv_pos_as_xyz
'x,y,z'
'-x,-y,-z'
'-x,y,-z'
'x,-y,z'
'x+1/2,y+1/2,z'
'-x+1/2,-y+1/2,-z'
'-x+1/2,y+1/2,-z'
'x+1/2,-y+1/2,z'
loop_
_atom_site_label
_atom_site_type_symbol
_atom_site_fract_x
_atom_site_fract_y
_atom_site_fract_z
K1 K 0.000 0.174 0.000
Rb1 Rb 0.000 0.500 0.000
Na1 Na 0.000 0.334 0.500
Re1 Re 0.000 0.000 0.500
O1 O 0.191 0.136 0.681
O2 O 0.205 0.000 0.311
# DFT total energy = -5.624 eV/atom
# Calculated volume = 14.78 Å³/atom

---

Entry 3:
# SmY2Se3, optimized geometry, DFT PBE
data_SmY2Se3
_chemical_formula_sum 'Sm1 Y2 Se3'
_cell_length_a 4.1012
_cell_length_b 4.1012
_cell_length_c 10.0983
_cell_angle_alpha 90.00
_cell_angle_beta 90.00
_cell_angle_gamma 120.00
_symmetry_space_group_name_H-M 'P -3 m 1'
_symmetry_Int_Tables_number 164
_symmetry_space_group_name_Hall '-P 3 2"'
loop_
_atom_site_label
_atom_site_type_symbol
_atom_site_fract_x
_atom_site_fract_y
_atom_site_fract_z
Sm1 Sm 0.0000 0.0000 0.0000
Y1 Y 0.3333 0.6667 0.6657
Se1 Se 0.0000 0.0000 0.5000
Se2 Se 0.3333 0.6667 0.1731
# DFT total energy = -6.467 eV/atom
# Calculated volume = 24.52 Å³/atom

---

Entry 4:
# BeCoCuSb, optimized geometry, DFT PBE
data_BeCoCuSb
_chemical_formula_sum 'Be4 Co4 Cu4 Sb4'
_cell_length_a 5.922
_cell_length_b 5.922
_cell_length_c 5.922
_cell_angle_alpha 90.00
_cell_angle_beta 90.00
_cell_angle_gamma 90.00
_symmetry_space_group_name_H-M 'F -4 3 m'
_symmetry_Int_Tables_number 216
_symmetry_space_group_name_Hall 'F -4 2 3'
loop_
_atom_site_label
_atom_site_type_symbol
_atom_site_fract_x
_atom_site_fract_y
_atom_site_fract_z
Be1 Be 0.000 0.000 0.000
Co1 Co 0.250 0.250 0.250
Cu1 Cu 0.250 0.250 0.750
Sb1 Sb 0.000 0.000 0.500
# DFT total energy = -4.463 eV/atom
# Calculated volume = 12.98 Å³/atom

---

Entry 5:
# SmHoGe, optimized geometry, DFT PBE
data_SmHoGe
_chemical_formula_sum 'Sm2 Ho2 Ge2'
_cell_length_a 5.1899
_cell_length_b 5.1899
_cell_length_c 6.3779
_cell_angle_alpha 90.00
_cell_angle_beta 90.00
_cell_angle_gamma 120.00
_symmetry_space_group_name_H-M 'P 63/m m c'
_symmetry_Int_Tables_number 194
_symmetry_space_group_name_Hall '-P 6c 2c'
loop_
_atom_site_label
_atom_site_type_symbol
_atom_site_fract_x
_atom_site_fract_y
_atom_site_fract_z
Sm1 Sm 0.0000 0.0000 0.0000
Ho1 Ho 0.3333 0.6667 0.2500
Ge1 Ge 0.3333 0.6667 0.7500
# DFT total energy = -5.176 eV/atom
# Calculated volume = 24.80 Å³/atom

---

Entry 6:
# SnGeIr2, optimized geometry, DFT PBE
data_SnGeIr2
_chemical_formula_sum 'Sn2 Ge2 Ir4'
_cell_length_a 3.846
_cell_length_b 5.737
_cell_length_c 6.466
_cell_angle_alpha 90.00
_cell_angle_beta 90.00
_cell_angle_gamma 90.00
_symmetry_space_group_name_H-M 'P m n 21'
_symmetry_Int_Tables_number 31
loop_
_symmetry_equiv_pos_as_xyz
'x,y,z'
'-x+1/2,-y,z+1/2'
'-x,y,z'
'x+1/2,-y,z+1/2'
loop_
_atom_site_label
_atom_site_type_symbol
_atom_site_fract_x
_atom_site_fract_y
_atom_site_fract_z
Sn1 Sn 0.000 0.044 0.000
Ge1 Ge 0.000 0.549 0.325
Ir1 Ir 0.000 0.260 0.628
Ir2 Ir 0.000 0.729 0.696
# DFT total energy = -6.811 eV/atom
# Calculated volume = 17.83 Å³/atom